(1)
DFT (PBE) results for crystalline DyEr2Co3Ni6 at its relaxed geometry.

Unit cell a=8.570 b=8.570 c=8.570 alpha=33.29 beta=33.29 gamma=33.29
Atoms (fractional coordinates):
Dy: 0.000 0.000 0.000
Er: 0.140 0.140 0.140
Er: 0.860 0.860 0.860
Co: 0.333 0.333 0.333
Co: 0.500 0.500 0.500
Co: 0.667 0.667 0.667
Ni: 0.083 0.582 0.582
Ni: 0.418 0.418 0.917
Ni: 0.418 0.917 0.418
Ni: 0.582 0.083 0.582
Ni: 0.582 0.582 0.083
Ni: 0.917 0.418 0.418

Total magnetic moment, μB per cell: 4.62
Energy of formation from the pure elements, kJ/mol of atoms: -31.2


(2)
DFT (PBE) results for crystalline CoNiSbW at its relaxed geometry.

Unit cell a=4.315 b=4.315 c=4.315 alpha=60.00 beta=60.00 gamma=60.00
Atoms (fractional coordinates):
Co: 0.000 0.000 0.000
Ni: 0.500 0.500 0.500
Sb: 0.750 0.750 0.750
W: 0.250 0.250 0.250

VASP energy, eV/atom: -7.08
Total magnetic moment, μB per cell: 0.58


(3)
DFT (PBE) results for crystalline CuAg3 at its relaxed geometry.

Unit cell a=7.001 b=7.001 c=2.889 alpha=90.00 beta=90.00 gamma=110.58
Atoms (fractional coordinates):
Cu: 0.129 0.871 0.000
Cu: 0.871 0.129 0.000
Ag: 0.000 0.500 0.500
Ag: 0.225 0.225 0.500
Ag: 0.377 0.623 0.000
Ag: 0.500 0.000 0.500
Ag: 0.623 0.377 0.000
Ag: 0.775 0.775 0.500

Energy of formation from the pure elements, kJ/mol of atoms: 5.9


(4)
DFT (PBE) results for crystalline Sr2MgTcSe6 at its relaxed geometry.

Unit cell a=6.074 b=7.024 c=7.268 alpha=90.32 beta=114.49 gamma=115.50
Atoms (fractional coordinates):
Sr: 0.022 0.283 0.260
Sr: 0.978 0.717 0.740
Mg: 0.500 0.000 0.500
Tc: 0.500 0.500 0.000
Se: 0.009 0.202 0.826
Se: 0.403 0.646 0.660
Se: 0.474 0.797 0.172
Se: 0.526 0.203 0.828
Se: 0.597 0.354 0.340
Se: 0.991 0.798 0.174

VASP energy, eV/atom: -4.58
Total magnetic moment, μB per cell: 1.84


(5)
DFT (PBE) results for crystalline DySc2O4 at its relaxed geometry.

Unit cell a=6.418 b=6.418 c=6.418 alpha=60.00 beta=60.00 gamma=60.00
Atoms (fractional coordinates):
Dy: 0.125 0.125 0.125
Dy: 0.875 0.875 0.875
Sc: 0.000 0.500 0.500
Sc: 0.500 0.000 0.500
Sc: 0.500 0.500 0.000
Sc: 0.500 0.500 0.500
O: 0.262 0.262 0.262
O: 0.262 0.262 0.714
O: 0.262 0.714 0.262
O: 0.286 0.738 0.738
O: 0.714 0.262 0.262
O: 0.738 0.286 0.738
O: 0.738 0.738 0.286
O: 0.738 0.738 0.738

VASP energy, eV/atom: -8.58
Total magnetic moment, μB per cell: 0.34


(6)
DFT (PBE) results for crystalline LiSc2Al2ZnAu2 at its relaxed geometry.

Unit cell a=4.580 b=4.580 c=6.471 alpha=90.00 beta=90.00 gamma=90.00
Atoms (fractional coordinates):
Li: 0.000 0.000 0.000
Sc: 0.000 0.500 0.750
Sc: 0.500 0.000 0.250
Al: 0.000 0.500 0.250
Al: 0.500 0.000 0.750
Zn: 0.500 0.500 0.500
Au: 0.000 0.000 0.500
Au: 0.500 0.500 0.000

VASP energy, eV/atom: -4.32
Total magnetic moment, μB per cell: 0.00


(7)
DFT (PBE) results for crystalline SmScSb at its relaxed geometry.

Unit cell a=5.128 b=5.128 c=5.128 alpha=60.00 beta=60.00 gamma=60.00
Atoms (fractional coordinates):
Sm: 0.000 0.000 0.000
Sc: 0.250 0.250 0.250
Sb: 0.750 0.750 0.750

VASP energy, eV/atom: -4.93
Total magnetic moment, μB per cell: 1.84


(8)
DFT (PBE) results for crystalline GdCuHgTe3 at its relaxed geometry.

Unit cell a=7.809 b=7.809 c=11.263 alpha=90.00 beta=90.00 gamma=149.55
Atoms (fractional coordinates):
Gd: 0.000 0.000 0.000
Gd: 0.000 0.000 0.500
Cu: 0.474 0.526 0.750
Cu: 0.526 0.474 0.250
Hg: 0.250 0.750 0.250
Hg: 0.750 0.250 0.750
Te: 0.089 0.911 0.750
Te: 0.359 0.641 0.577
Te: 0.359 0.641 0.923
Te: 0.641 0.359 0.077
Te: 0.641 0.359 0.423
Te: 0.911 0.089 0.250

VASP energy, eV/atom: -3.55
Total magnetic moment, μB per cell: 0.03


(9)
DFT (PBE) results for crystalline MoPb at its relaxed geometry.

Unit cell a=4.487 b=4.487 c=4.487 alpha=60.00 beta=60.00 gamma=60.00
Atoms (fractional coordinates):
Mo: 0.000 0.000 0.000
Pb: 0.750 0.750 0.750

VASP energy, eV/atom: -5.41
Total magnetic moment, μB per cell: 2.00


(10)
DFT (PBE) results for crystalline AcNdPd at its relaxed geometry.

Unit cell a=5.289 b=5.289 c=10.579 alpha=90.00 beta=90.00 gamma=120.00
Atoms (fractional coordinates):
Ac: 0.000 0.000 0.000
Ac: 0.333 0.667 0.308
Ac: 0.333 0.667 0.692
Nd: 0.667 0.333 0.167
Nd: 0.667 0.333 0.500
Nd: 0.667 0.333 0.833
Pd: 0.000 0.000 0.358
Pd: 0.000 0.000 0.642
Pd: 0.333 0.667 0.000

Total magnetic moment, μB per cell: 0.01
Energy of formation from the pure elements, kJ/mol of atoms: -30.8


(11)
DFT (PBE) results for crystalline PrZn2 at its relaxed geometry.

Unit cell a=5.814 b=5.814 c=5.814 alpha=133.24 beta=100.19 gamma=97.94
Atoms (fractional coordinates):
Pr: 0.282 0.032 0.250
Pr: 0.718 0.968 0.750
Zn: 0.116 0.666 0.450
Zn: 0.284 0.334 0.950
Zn: 0.716 0.666 0.050
Zn: 0.884 0.334 0.550

Total magnetic moment, μB per cell: 0.01
Energy of formation from the pure elements, kJ/mol of atoms: -34.7


(12)
DFT (PBE) results for crystalline TmHBrCl at its relaxed geometry.

Unit cell a=3.728 b=3.728 c=14.580 alpha=90.00 beta=90.00 gamma=120.00
Atoms (fractional coordinates):
Tm: 0.000 0.000 0.000
Tm: 0.000 0.000 0.500
H: 0.333 0.667 0.002
H: 0.667 0.333 0.502
Br: 0.333 0.667 0.632
Br: 0.667 0.333 0.132
Cl: 0.333 0.667 0.382
Cl: 0.667 0.333 0.882

VASP energy, eV/atom: -4.47
Total magnetic moment, μB per cell: 0.00